(1)
18
Lattice="7.836 -3.924 0.000 7.836 3.924 0.000 0.000 0.000 7.806" Properties=species:S:1:pos:R:3 comment="Tb5Te2Ir2 GGA-PBE relaxed" space_group="Cmce (64)" density_g_cm3=9.92 e_form_raw_mev_per_atom=-1059 vol_a3_per_atom=26.67 pbc="T T T"
Tb 0.000 0.000 0.000
Tb 6.014 2.668 5.138
Tb 6.014 1.256 1.235
Tb 9.658 2.668 5.138
Tb 9.658 1.256 1.235
Tb 7.836 0.000 3.903
Tb 6.014 -1.256 6.570
Tb 6.014 -2.668 2.668
Tb 9.658 -1.256 6.570
Tb 9.658 -2.668 2.668
Te 3.280 0.000 0.000
Te 4.556 0.000 3.903
Te 11.116 0.000 3.903
Te 12.392 0.000 0.000
Ir 7.836 2.833 2.828
Ir 7.836 1.091 6.731
Ir 7.836 -1.091 1.075
Ir 7.836 -2.833 4.977

(2)
4
Lattice="3.613 0.000 0.000 0.000 3.613 0.000 0.000 0.000 7.411" Properties=species:S:1:pos:R:3 comment="Tb2TeIr GGA-PBE relaxed" relative_energy_mev_per_atom=124 space_group="P4/mmm (123)" density_g_cm3=10.94 e_form_raw_mev_per_atom=-907 vol_a3_per_atom=24.19 pbc="T T T"
Tb 0.000 0.000 1.644
Tb 0.000 0.000 5.767
Te 1.807 1.807 3.706
Ir 1.807 1.807 0.000

(3)
4
Lattice="2.083 1.203 7.244 -2.083 1.203 7.244 0.000 -2.405 7.244" Properties=species:S:1:pos:R:3 comment="Tb2TeIr GGA-PBE relaxed" relative_energy_mev_per_atom=5 space_group="R3m (160)" density_g_cm3=9.72 e_form_raw_mev_per_atom=-1026 vol_a3_per_atom=27.22 pbc="T T T"
Tb 0.000 0.000 0.000
Tb 0.000 0.000 4.253
Te 0.000 0.000 9.388
Ir 0.000 0.000 12.962